1.
PBE PaAgGe, optimized geometry; E above lowest polymorph = 192 meV/atom; calculated density = 8.68 g/cm3; DFT total energy = -5.35 eV/atom
1.0
0.000 3.402 3.402
3.402 0.000 3.402
3.402 3.402 0.000
Ge Ag Pa
1 1 1
Direct
0.000 0.000 0.000
0.500 0.500 0.500
0.250 0.250 0.250


2.
PBE TcTe2, optimized geometry; calculated density = 3.08 g/cm3; DFT total energy = -5.05 eV/atom
1.0
-0.570 -7.930 -1.716
6.298 -3.897 -3.362
4.224 -5.417 4.354
Te Tc
4 2
Direct
0.500 0.000 0.000
0.000 0.500 0.000
0.000 0.000 0.500
0.000 0.000 0.000
0.875 0.875 0.875
0.125 0.125 0.125


3.
PBE Fe2TcBi, optimized geometry; calculated density = 11.26 g/cm3; DFT total energy = -7.26 eV/atom
1.0
0.000 3.137 3.137
3.137 0.000 3.137
3.137 3.137 0.000
Tc Fe Bi
1 2 1
Direct
0.250 0.250 0.250
0.000 0.000 0.000
0.750 0.750 0.750
0.500 0.500 0.500


4.
PBE Li7Cd2, optimized geometry; calculated density = 2.96 g/cm3; DFT total energy = -1.84 eV/atom
1.0
4.596 0.000 0.000
-2.298 3.980 0.000
0.000 0.000 8.399
Li Cd
7 2
Direct
0.333 0.667 0.893
0.333 0.667 0.566
0.667 0.333 0.434
0.000 0.000 0.000
0.000 0.000 0.669
0.000 0.000 0.331
0.667 0.333 0.107
0.667 0.333 0.771
0.333 0.667 0.229


5.
PBE Pu3HgAu2, optimized geometry; ΔE_f = -2.40 eV/f.u.; calculated density = 15.02 g/cm3; DFT total energy = -8.60 eV/atom
1.0
3.394 0.000 0.000
0.000 3.394 0.000
0.000 0.000 12.733
Pu Au Hg
3 2 1
Direct
0.000 0.000 0.000
0.000 0.000 0.321
0.000 0.000 0.679
0.500 0.500 0.838
0.500 0.500 0.162
0.500 0.500 0.500


6.
PBE MgInFeIr, optimized geometry; E above lowest polymorph = 0 meV/atom; calculated density = 10.04 g/cm3; DFT total energy = -5.34 eV/atom
1.0
0.000 3.175 3.175
3.175 0.000 3.175
3.175 3.175 0.000
Mg Fe In Ir
1 1 1 1
Direct
0.500 0.500 0.500
0.750 0.750 0.750
0.000 0.000 0.000
0.250 0.250 0.250


7.
PBE CsSiTe2AuSe, optimized geometry; calculated density = 6.03 g/cm3; DFT total energy = -3.42 eV/atom
1.0
1.974 -8.948 0.000
1.974 8.948 0.000
0.000 0.000 10.793
Te Si Se Cs Au
4 2 2 2 2
Direct
0.109 0.891 0.009
0.891 0.109 0.991
0.109 0.891 0.491
0.891 0.109 0.509
0.500 0.500 0.500
0.500 0.500 0.000
0.530 0.470 0.750
0.470 0.530 0.250
0.246 0.754 0.750
0.754 0.246 0.250
0.919 0.081 0.750
0.081 0.919 0.250


8.
PBE LuCoCu, optimized geometry; ΔE_f = 1.82 eV/f.u.; calculated density = 8.62 g/cm3; DFT total energy = -4.51 eV/atom
1.0
2.672 1.561 3.025
-1.003 -0.404 4.191
2.248 -2.715 2.511
Lu Cu Co
1 1 1
Direct
0.000 0.000 0.000
0.750 0.750 0.750
0.250 0.250 0.250